Record 1
Pm6Ho4Er | GGA-PBE | relaxed

**Final energy**: -48.05 eV/cell
**Size of the total moment**: 0.00 μB per formula unit

abc: 9.7149 9.7149 9.7149
angles: 139.91 139.91 57.99
Closest atoms and distances in Å follow each position.
Sites, in units of the cell vectors:
Pm: 0.0000 0.5000 0.5000  4 Ho 3.24, 2 Er 3.33
Pm: 0.0130 0.6345 0.0000  5 Ho 3.38-3.62, 1 Er 3.49, 1 Pm 3.56
Pm: 0.3655 0.3655 0.3785  5 Ho 3.38-3.62, 1 Er 3.49, 1 Pm 3.56
Pm: 0.5000 0.0000 0.5000  4 Ho 3.24, 2 Er 3.33
Pm: 0.6345 0.0130 0.0000  5 Ho 3.38-3.62, 1 Er 3.49, 1 Pm 3.56
Pm: 0.9870 0.9870 0.6215  5 Ho 3.38-3.62, 1 Er 3.49, 1 Pm 3.56
Ho: 0.1961 0.1961 0.6423  7 Pm 3.24-3.62, 1 Ho 3.37
Ho: 0.4462 0.8039 0.0000  7 Pm 3.24-3.62, 1 Ho 3.37
Ho: 0.5538 0.5538 0.3577  7 Pm 3.24-3.62, 1 Ho 3.37
Ho: 0.8039 0.4462 0.0000  7 Pm 3.24-3.62, 1 Ho 3.37
Er: 0.0000 0.0000 0.0000  8 Pm 3.33-3.49, 4 Ho 3.70

=====

Record 2
Pm2Ho8Er3 | GGA-PBE | relaxed

**Final energy**: -115.56 eV/cell
**Size of the total moment**: 0.00 μB per formula unit

abc: 3.4932 11.6508 20.5363
angles: 90.00 90.04 90.00
Closest atoms and distances in Å follow each position.
Sites, in units of the cell vectors:
Pm: 0.0017 0.1797 0.0989  3 Ho 3.25-3.45, 4 Er 3.40-3.41, 2 Pm 3.49
Pm: 0.0017 0.3203 0.5989  3 Ho 3.25-3.45, 4 Er 3.40-3.41, 2 Pm 3.49
Pm: 0.9983 0.6797 0.4011  3 Ho 3.25-3.45, 4 Er 3.40-3.41, 2 Pm 3.49
Pm: 0.9983 0.8203 0.9011  3 Ho 3.25-3.45, 4 Er 3.40-3.41, 2 Pm 3.49
Ho: 0.0004 0.0455 0.5716  5 Ho 3.13-3.49, 1 Pm 3.25, 2 Er 3.39
Ho: 0.0004 0.4545 0.0716  5 Ho 3.13-3.49, 1 Pm 3.25, 2 Er 3.39
Ho: 0.9996 0.5455 0.9284  5 Ho 3.13-3.49, 1 Pm 3.25, 2 Er 3.39
Ho: 0.9996 0.9545 0.4284  5 Ho 3.13-3.49, 1 Pm 3.25, 2 Er 3.39
Ho: 0.0005 0.1272 0.2855  7 Ho 3.49-3.86, 4 Er 3.62-3.64, 1 Pm 3.88
Ho: 0.0005 0.3728 0.7855  7 Ho 3.49-3.86, 4 Er 3.62-3.64, 1 Pm 3.88
Ho: 0.4965 0.0526 0.8416  2 Er 3.08-3.31, 2 Pm 3.44-3.45
Ho: 0.4965 0.4474 0.3416  2 Er 3.08-3.31, 2 Pm 3.44-3.45
Ho: 0.5004 0.2072 0.4468  7 Ho 3.44-3.63, 1 Er 3.58, 2 Pm 3.81-3.82
Ho: 0.5004 0.2928 0.9468  7 Ho 3.44-3.63, 1 Er 3.58, 2 Pm 3.81-3.82
Ho: 0.4996 0.7072 0.0532  7 Ho 3.44-3.63, 1 Er 3.58, 2 Pm 3.81-3.82
Ho: 0.4996 0.7928 0.5532  7 Ho 3.44-3.63, 1 Er 3.58, 2 Pm 3.81-3.82
Ho: 0.5035 0.5526 0.6584  2 Er 3.08-3.31, 2 Pm 3.44-3.45
Ho: 0.5035 0.9474 0.1584  2 Er 3.08-3.31, 2 Pm 3.44-3.45
Ho: 0.9995 0.6272 0.2145  7 Ho 3.49-3.86, 4 Er 3.62-3.64, 1 Pm 3.88
Ho: 0.9995 0.8728 0.7145  7 Ho 3.49-3.86, 4 Er 3.62-3.64, 1 Pm 3.88
Er: 0.4983 0.6452 0.7989  3 Ho 3.08-3.39, 2 Pm 3.41
Er: 0.4983 0.8548 0.2989  3 Ho 3.08-3.39, 2 Pm 3.41
Er: 0.5000 0.0000 0.0000  4 Ho 3.31-3.58, 4 Pm 3.40, 2 Er 3.49
Er: 0.5000 0.5000 0.5000  4 Ho 3.31-3.58, 4 Pm 3.40, 2 Er 3.49
Er: 0.5017 0.1452 0.7011  3 Ho 3.08-3.39, 2 Pm 3.41
Er: 0.5017 0.3548 0.2011  3 Ho 3.08-3.39, 2 Pm 3.41

=====

Record 3
PmHo7Er2 | GGA-PBE | relaxed

**Final energy**: -45.71 eV/cell
**Size of the total moment**: 0.00 μB per formula unit
**ΔE to the lowest computed polymorph**: 0 meV per atom

abc: 6.1137 6.1230 9.3367
angles: 102.57 109.02 99.61
Closest atoms and distances in Å follow each position.
Sites, in units of the cell vectors:
Pm: 0.0000 0.0000 0.0000  10 Ho 3.53-3.55, 2 Er 3.54
Ho: 0.0000 0.5000 0.5000  8 Ho 3.52-3.53, 4 Er 3.53
Ho: 0.2008 0.5002 0.8993  9 Ho 3.52-3.55, 2 Pm 3.54, 1 Er 3.54
Ho: 0.3988 0.9994 0.7981  3 Er 3.51-3.53, 7 Ho 3.52-3.56, 2 Pm 3.53-3.54
Ho: 0.4004 0.5013 0.3012  8 Ho 3.51-3.55, 3 Er 3.52-3.53, 1 Pm 3.55
Ho: 0.5996 0.4987 0.6988  8 Ho 3.51-3.55, 3 Er 3.52-3.53, 1 Pm 3.55
Ho: 0.6012 0.0006 0.2019  3 Er 3.51-3.53, 7 Ho 3.52-3.56, 2 Pm 3.53-3.54
Ho: 0.7992 0.4998 0.1007  9 Ho 3.52-3.55, 2 Pm 3.54, 1 Er 3.54
Er: 0.2004 0.0006 0.4008  9 Ho 3.51-3.54, 2 Er 3.52-3.53, 1 Pm 3.54
Er: 0.7996 0.9994 0.5992  9 Ho 3.51-3.54, 2 Er 3.52-3.53, 1 Pm 3.54

=====

Record 4
Pm7Ho3Er2 | GGA-PBE | relaxed

**Final energy**: -55.24 eV/cell
**Size of the total moment**: 0.00 μB per formula unit
**ΔE to the lowest computed polymorph**: 0 meV per atom

abc: 6.4189 3.5500 17.5097
angles: 90.00 95.94 90.00
Closest atoms and distances in Å follow each position.
Sites, in units of the cell vectors:
Pm: 0.0000 0.0000 0.0000  8 Pm 3.55-3.65, 4 Ho 3.67
Pm: 0.2243 0.5000 0.1714  1 Er 3.47, 8 Pm 3.55-3.68, 3 Ho 3.63-3.64
Pm: 0.2574 0.5000 0.4948  2 Pm 3.10-3.33, 2 Er 3.36-3.45
Pm: 0.2755 0.0000 0.8326  2 Er 3.51, 7 Pm 3.55-3.68, 3 Ho 3.60-3.64
Pm: 0.7245 0.0000 0.1674  2 Er 3.51, 7 Pm 3.55-3.68, 3 Ho 3.60-3.64
Pm: 0.7426 0.5000 0.5052  2 Pm 3.10-3.33, 2 Er 3.36-3.45
Pm: 0.7757 0.5000 0.8286  1 Er 3.47, 8 Pm 3.55-3.68, 3 Ho 3.63-3.64
Ho: 0.4546 0.0000 0.3406  2 Ho 3.55, 7 Pm 3.57-3.71, 4 Er 3.61-3.73
Ho: 0.5000 0.5000 0.0000  2 Ho 3.55, 10 Pm 3.60-3.67
Ho: 0.5454 0.0000 0.6594  2 Ho 3.55, 7 Pm 3.57-3.71, 4 Er 3.61-3.73
Er: 0.0593 0.5000 0.6704  5 Pm 3.36-3.51, 2 Er 3.55, 4 Ho 3.61-3.73
Er: 0.9407 0.5000 0.3296  5 Pm 3.36-3.51, 2 Er 3.55, 4 Ho 3.61-3.73

=====

Record 5
Pm19Ho4Er6 | GGA-PBE | relaxed

**Final energy**: -125.20 eV/cell
**Size of the total moment**: 0.00 μB per formula unit

abc: 10.9204 10.9204 10.9204
angles: 109.47 109.47 109.47
Closest atoms and distances in Å follow each position.
Sites, in units of the cell vectors:
Pm: 0.0000 0.0000 0.0000  6 Pm 3.29
Pm: 0.0000 0.2607 0.2607  5 Pm 3.29-3.62, 2 Ho 3.37, 2 Er 3.40
Pm: 0.0000 0.7393 0.7393  5 Pm 3.29-3.62, 2 Ho 3.37, 2 Er 3.40
Pm: 0.0179 0.2183 0.6752  1 Er 3.21, 2 Ho 3.37-3.47, 1 Pm 3.41
Pm: 0.2004 0.9821 0.6573  1 Er 3.21, 2 Ho 3.37-3.47, 1 Pm 3.41
Pm: 0.2183 0.6752 0.0179  1 Er 3.21, 2 Ho 3.37-3.47, 1 Pm 3.41
Pm: 0.2607 0.0000 0.2607  5 Pm 3.29-3.62, 2 Ho 3.37, 2 Er 3.40
Pm: 0.2607 0.2607 0.0000  5 Pm 3.29-3.62, 2 Ho 3.37, 2 Er 3.40
Pm: 0.3248 0.5431 0.3427  1 Er 3.21, 2 Ho 3.37-3.47, 1 Pm 3.41
Pm: 0.3427 0.3248 0.5431  1 Er 3.21, 2 Ho 3.37-3.47, 1 Pm 3.41
Pm: 0.4569 0.7817 0.7996  1 Er 3.21, 2 Ho 3.37-3.47, 1 Pm 3.41
Pm: 0.5431 0.3427 0.3248  1 Er 3.21, 2 Ho 3.37-3.47, 1 Pm 3.41
Pm: 0.6573 0.2004 0.9821  1 Er 3.21, 2 Ho 3.37-3.47, 1 Pm 3.41
Pm: 0.6752 0.0179 0.2183  1 Er 3.21, 2 Ho 3.37-3.47, 1 Pm 3.41
Pm: 0.7393 0.0000 0.7393  5 Pm 3.29-3.62, 2 Ho 3.37, 2 Er 3.40
Pm: 0.7393 0.7393 0.0000  5 Pm 3.29-3.62, 2 Ho 3.37, 2 Er 3.40
Pm: 0.7817 0.7996 0.4569  1 Er 3.21, 2 Ho 3.37-3.47, 1 Pm 3.41
Pm: 0.7996 0.4569 0.7817  1 Er 3.21, 2 Ho 3.37-3.47, 1 Pm 3.41
Pm: 0.9821 0.6573 0.2004  1 Er 3.21, 2 Ho 3.37-3.47, 1 Pm 3.41
Ho: 0.0000 0.0000 0.3597  9 Pm 3.37-3.47
Ho: 0.0000 0.3597 0.0000  9 Pm 3.37-3.47
Ho: 0.3597 0.0000 0.0000  9 Pm 3.37-3.47
Ho: 0.6403 0.6403 0.6403  9 Pm 3.37-3.47
Er: 0.1250 0.5000 0.6250  1 Er 3.15, 4 Pm 3.21-3.40
Er: 0.3750 0.8750 0.5000  1 Er 3.15, 4 Pm 3.21-3.40
Er: 0.5000 0.3750 0.8750  1 Er 3.15, 4 Pm 3.21-3.40
Er: 0.5000 0.6250 0.1250  1 Er 3.15, 4 Pm 3.21-3.40
Er: 0.6250 0.1250 0.5000  1 Er 3.15, 4 Pm 3.21-3.40
Er: 0.8750 0.5000 0.3750  1 Er 3.15, 4 Pm 3.21-3.40

=====

Record 6
Pm8HoEr4 | GGA-PBE | relaxed

**Final energy**: -58.25 eV/cell
**Size of the total moment**: 0.00 μB per formula unit

abc: 10.4332 10.4332 10.4332
angles: 40.64 40.64 40.64
Closest atoms and distances in Å follow each position.
Sites, in units of the cell vectors:
Pm: 0.2063 0.7512 0.7512  1 Ho 3.03, 2 Pm 3.30, 1 Er 3.37
Pm: 0.2128 0.2128 0.2128  9 Pm 3.69-3.83, 3 Er 4.04
Pm: 0.2488 0.2488 0.7937  1 Ho 3.03, 2 Pm 3.30, 1 Er 3.37
Pm: 0.2488 0.7937 0.2488  1 Ho 3.03, 2 Pm 3.30, 1 Er 3.37
Pm: 0.7512 0.2063 0.7512  1 Ho 3.03, 2 Pm 3.30, 1 Er 3.37
Pm: 0.7512 0.7512 0.2063  1 Ho 3.03, 2 Pm 3.30, 1 Er 3.37
Pm: 0.7872 0.7872 0.7872  9 Pm 3.69-3.83, 3 Er 4.04
Pm: 0.7937 0.2488 0.2488  1 Ho 3.03, 2 Pm 3.30, 1 Er 3.37
Ho: 0.5000 0.5000 0.5000  6 Pm 3.03
Er: 0.0000 0.0000 0.0000  6 Pm 3.37, 6 Er 3.62
Er: 0.0000 0.5000 0.5000  4 Pm 3.54, 6 Er 3.62
Er: 0.5000 0.0000 0.5000  4 Pm 3.54, 6 Er 3.62
Er: 0.5000 0.5000 0.0000  4 Pm 3.54, 6 Er 3.62

=====

Record 7
PmHo3Er7 | GGA-PBE | relaxed

**Final energy**: -48.73 eV/cell
**Size of the total moment**: 0.00 μB per formula unit
**ΔE to the lowest computed polymorph**: 0 meV per atom

abc: 6.8855 5.4851 9.8276
angles: 90.00 109.40 90.00
Closest atoms and distances in Å follow each position.
Sites, in units of the cell vectors:
Pm: 0.0000 0.0000 0.0000  2 Ho 3.44, 10 Er 3.51-3.78
Ho: 0.2765 0.5000 0.4951  1 Ho 3.05, 4 Er 3.29-3.35
Ho: 0.5000 0.0000 0.0000  2 Pm 3.44, 10 Er 3.46-3.78
Ho: 0.7235 0.5000 0.5049  1 Ho 3.05, 4 Er 3.29-3.35
Er: 0.0000 0.0000 0.5000  4 Ho 3.35, 2 Er 3.74
Er: 0.1498 0.5000 0.7900  3 Er 3.26-3.53, 2 Ho 3.29-3.32
Er: 0.3230 0.5000 0.1421  5 Er 3.26-3.53, 3 Ho 3.48-3.59, 2 Pm 3.51
Er: 0.4272 0.0000 0.3318  3 Er 3.12-3.26, 1 Ho 3.46
Er: 0.5728 0.0000 0.6682  3 Er 3.12-3.26, 1 Ho 3.46
Er: 0.6770 0.5000 0.8579  5 Er 3.26-3.53, 3 Ho 3.48-3.59, 2 Pm 3.51
Er: 0.8502 0.5000 0.2100  3 Er 3.26-3.53, 2 Ho 3.29-3.32

=====

Record 8
Pm3Ho3Er | GGA-PBE | relaxed

**Final energy**: -62.80 eV/cell
**Size of the total moment**: 0.00 μB per formula unit
**ΔE to the lowest computed polymorph**: 146 meV per atom

abc: 14.7515 14.7515 14.7515
angles: 24.27 24.27 24.27
Closest atoms and distances in Å follow each position.
Sites, in units of the cell vectors:
Pm: 0.1313 0.4620 0.8002  3 Ho 3.52-3.54, 9 Pm 3.56-3.69
Pm: 0.1998 0.8687 0.5380  3 Ho 3.52-3.54, 9 Pm 3.56-3.69
Pm: 0.4620 0.8002 0.1313  3 Ho 3.52-3.54, 9 Pm 3.56-3.69
Pm: 0.5380 0.1998 0.8687  3 Ho 3.52-3.54, 9 Pm 3.56-3.69
Pm: 0.8002 0.1313 0.4620  3 Ho 3.52-3.54, 9 Pm 3.56-3.69
Pm: 0.8687 0.5380 0.1998  3 Ho 3.52-3.54, 9 Pm 3.56-3.69
Ho: 0.0644 0.7310 0.3982  2 Er 3.46, 3 Pm 3.52-3.54, 6 Ho 3.58
Ho: 0.2690 0.6018 0.9356  2 Er 3.46, 3 Pm 3.52-3.54, 6 Ho 3.58
Ho: 0.3982 0.0644 0.7310  2 Er 3.46, 3 Pm 3.52-3.54, 6 Ho 3.58
Ho: 0.6018 0.9356 0.2690  2 Er 3.46, 3 Pm 3.52-3.54, 6 Ho 3.58
Ho: 0.7310 0.3982 0.0644  2 Er 3.46, 3 Pm 3.52-3.54, 6 Ho 3.58
Ho: 0.9356 0.2690 0.6018  2 Er 3.46, 3 Pm 3.52-3.54, 6 Ho 3.58
Er: 0.3333 0.3333 0.3333  6 Ho 3.46, 3 Er 3.58
Er: 0.6667 0.6667 0.6667  6 Ho 3.46, 3 Er 3.58

=====

Record 9
Pm3Ho4Er2 | GGA-PBE | relaxed

**Final energy**: -41.51 eV/cell
**Size of the total moment**: 0.00 μB per formula unit

abc: 7.9655 7.9655 7.9647
angles: 107.47 107.47 36.84
Closest atoms and distances in Å follow each position.
Sites, in units of the cell vectors:
Pm: 0.0000 0.0000 0.0000  6 Ho 3.55-3.56, 4 Er 3.57, 2 Pm 3.57
Pm: 0.1113 0.1113 0.6654  3 Er 3.55-3.57, 7 Ho 3.55-3.58, 2 Pm 3.56-3.57
Pm: 0.8887 0.8887 0.3346  3 Er 3.55-3.57, 7 Ho 3.55-3.58, 2 Pm 3.56-3.57
Ho: 0.2215 0.2215 0.3321  5 Ho 3.54-3.57, 4 Pm 3.55-3.56, 3 Er 3.55-3.56
Ho: 0.4435 0.4435 0.6671  4 Ho 3.54-3.59, 2 Er 3.56-3.58, 6 Pm 3.56-3.58
Ho: 0.5565 0.5565 0.3329  4 Ho 3.54-3.59, 2 Er 3.56-3.58, 6 Pm 3.56-3.58
Ho: 0.7785 0.7785 0.6679  5 Ho 3.54-3.57, 4 Pm 3.55-3.56, 3 Er 3.55-3.56
Er: 0.3323 0.3323 0.9994  2 Er 3.54, 5 Ho 3.55-3.58, 5 Pm 3.55-3.57
Er: 0.6677 0.6677 0.0006  2 Er 3.54, 5 Ho 3.55-3.58, 5 Pm 3.55-3.57

=====

Record 10
Pm2HoEr6 | GGA-PBE | relaxed

**Final energy**: -80.92 eV/cell
**Size of the total moment**: 0.00 μB per formula unit
**ΔE to the lowest computed polymorph**: 89 meV per atom

abc: 9.5266 9.5266 6.5231
angles: 99.24 99.24 96.03
Closest atoms and distances in Å follow each position.
Sites, in units of the cell vectors:
Pm: 0.1176 0.1685 0.3730  3 Pm 3.34-3.61, 7 Er 3.38-3.64
Pm: 0.1685 0.1176 0.8730  3 Pm 3.34-3.61, 7 Er 3.38-3.64
Pm: 0.8315 0.8824 0.1270  3 Pm 3.34-3.61, 7 Er 3.38-3.64
Pm: 0.8824 0.8315 0.6270  3 Pm 3.34-3.61, 7 Er 3.38-3.64
Ho: 0.3820 0.6180 0.7500  8 Er 3.27-3.65
Ho: 0.6180 0.3820 0.2500  8 Er 3.27-3.65
Er: 0.0386 0.4410 0.7303  7 Er 3.36-3.73, 2 Pm 3.43-3.64, 1 Ho 3.49
Er: 0.1520 0.7761 0.9964  5 Er 3.21-3.55, 1 Ho 3.27, 3 Pm 3.38-3.50
Er: 0.2239 0.8480 0.5036  5 Er 3.21-3.55, 1 Ho 3.27, 3 Pm 3.38-3.50
Er: 0.2783 0.4574 0.1851  3 Er 3.27-3.41, 2 Ho 3.36-3.65, 2 Pm 3.49-3.50
Er: 0.4410 0.0386 0.2303  7 Er 3.36-3.73, 2 Pm 3.43-3.64, 1 Ho 3.49
Er: 0.4574 0.2783 0.6851  3 Er 3.27-3.41, 2 Ho 3.36-3.65, 2 Pm 3.49-3.50
Er: 0.5426 0.7217 0.3149  3 Er 3.27-3.41, 2 Ho 3.36-3.65, 2 Pm 3.49-3.50
Er: 0.5590 0.9614 0.7697  7 Er 3.36-3.73, 2 Pm 3.43-3.64, 1 Ho 3.49
Er: 0.7217 0.5426 0.8149  3 Er 3.27-3.41, 2 Ho 3.36-3.65, 2 Pm 3.49-3.50
Er: 0.7761 0.1520 0.4964  5 Er 3.21-3.55, 1 Ho 3.27, 3 Pm 3.38-3.50
Er: 0.8480 0.2239 0.0036  5 Er 3.21-3.55, 1 Ho 3.27, 3 Pm 3.38-3.50
Er: 0.9614 0.5590 0.2697  7 Er 3.36-3.73, 2 Pm 3.43-3.64, 1 Ho 3.49

=====

Record 11
Pm10Ho4Er | GGA-PBE | relaxed

**Final energy**: -59.90 eV/cell
**Size of the total moment**: 0.00 μB per formula unit

abc: 9.5134 9.5134 9.5134
angles: 99.56 99.56 131.90
Closest atoms and distances in Å follow each position.
Sites, in units of the cell vectors:
Pm: 0.0501 0.3497 0.8995  3 Ho 3.36, 1 Er 3.36
Pm: 0.1506 0.0501 0.7004  3 Ho 3.36, 1 Er 3.36
Pm: 0.2500 0.7500 0.5000  4 Ho 3.37
Pm: 0.3497 0.4502 0.2996  3 Ho 3.36, 1 Er 3.36
Pm: 0.4502 0.1506 0.1005  3 Ho 3.36, 1 Er 3.36
Pm: 0.5498 0.8494 0.8995  3 Ho 3.36, 1 Er 3.36
Pm: 0.6503 0.5498 0.7004  3 Ho 3.36, 1 Er 3.36
Pm: 0.7500 0.2500 0.5000  4 Ho 3.37
Pm: 0.8494 0.9499 0.2996  3 Ho 3.36, 1 Er 3.36
Pm: 0.9499 0.6503 0.1005  3 Ho 3.36, 1 Er 3.36
Ho: 0.1003 0.7004 0.8007  8 Pm 3.36-3.37
Ho: 0.2996 0.1003 0.3999  8 Pm 3.36-3.37
Ho: 0.7004 0.8997 0.6001  8 Pm 3.36-3.37
Ho: 0.8997 0.2996 0.1993  8 Pm 3.36-3.37
Er: 0.5000 0.5000 0.0000  8 Pm 3.36

=====

Record 12
Pm3HoEr5 | GGA-PBE | relaxed

**Final energy**: -78.45 eV/cell
**Size of the total moment**: 0.00 μB per formula unit

abc: 9.8254 9.8254 9.8254
angles: 127.53 127.53 77.38
Closest atoms and distances in Å follow each position.
Sites, in units of the cell vectors:
Pm: 0.1163 0.6163 0.7325  1 Pm 2.86, 2 Er 3.00
Pm: 0.2500 0.2500 0.0000  10 Er 3.56-3.83
Pm: 0.3837 0.1163 0.5000  1 Pm 2.86, 2 Er 3.00
Pm: 0.6163 0.8837 0.5000  1 Pm 2.86, 2 Er 3.00
Pm: 0.7500 0.7500 0.0000  10 Er 3.56-3.83
Pm: 0.8837 0.3837 0.2675  1 Pm 2.86, 2 Er 3.00
Ho: 0.2500 0.7500 0.5000  4 Er 3.11
Ho: 0.7500 0.2500 0.5000  4 Er 3.11
Er: 0.0000 0.0000 0.0000  6 Pm 3.48-3.83, 8 Er 3.76
Er: 0.0727 0.1523 0.5000  1 Pm 3.00, 1 Ho 3.11
Er: 0.1523 0.6523 0.0796  1 Pm 3.00, 1 Ho 3.11
Er: 0.3477 0.4273 0.5000  1 Pm 3.00, 1 Ho 3.11
Er: 0.4273 0.9273 0.0796  1 Pm 3.00, 1 Ho 3.11
Er: 0.5000 0.5000 0.0000  6 Pm 3.48-3.83, 8 Er 3.76
Er: 0.5727 0.0727 0.9204  1 Pm 3.00, 1 Ho 3.11
Er: 0.6523 0.5727 0.5000  1 Pm 3.00, 1 Ho 3.11
Er: 0.8477 0.3477 0.9204  1 Pm 3.00, 1 Ho 3.11
Er: 0.9273 0.8477 0.5000  1 Pm 3.00, 1 Ho 3.11